1.
First-principles (PBE) data for CsIn6Se8 after structural relaxation, as listed in Alexandria via LeMat-Bulk.

Lattice parameters (Å, degrees): 13.494 13.494 13.494 90.00 90.00 90.00
Space group Fm-3m (No. 225)
One atom of each set of equivalent atoms:
Cs: 0.000 0.000 0.000 x4
In: 0.000 0.250 0.250 x24
Se: 0.146 0.146 0.146 x32

Computed properties:
As for the energy above the lowest structure with this stoichiometry: 323 meV/atom. The formation energy (no corrections) comes out at -0.189 eV/atom. The total energy is -0.2352 Ry/atom.

2.
First-principles (PBE) data for RbMnAg2Cl6 after structural relaxation, as listed in Alexandria via LeMat-Bulk.

Lattice parameters (Å, degrees): 6.634 6.984 7.736 90.56 110.32 115.16
Space group P1 (No. 1)
One atom of each set of equivalent atoms:
Rb: 0.000 0.000 0.000 x1
Mn: 0.001 0.501 0.501 x1
Ag: 0.424 0.188 0.574 x1
Ag: 0.575 0.813 0.425 x1
Cl: 0.136 0.458 0.275 x1
Cl: 0.139 0.278 0.667 x1
Cl: 0.436 0.845 0.701 x1
Cl: 0.564 0.157 0.300 x1
Cl: 0.862 0.725 0.335 x1
Cl: 0.863 0.542 0.726 x1

Computed properties:
The formation energy (no corrections) comes out at -0.964 eV/atom. The total energy is -0.2687 Ry/atom.

3.
First-principles (PBE) data for SrTcP2S after structural relaxation, as listed in Alexandria via LeMat-Bulk.

Lattice parameters (Å, degrees): 4.499 4.499 5.542 90.00 90.00 90.00
Space group P4/mmm (No. 123)
One atom of each set of equivalent atoms:
Sr: 0.000 0.000 0.000 x1
Tc: 0.500 0.500 0.500 x1
P: 0.000 0.500 0.500 x2
S: 0.500 0.500 0.000 x1

Computed properties:
As for the energy above the lowest structure with this stoichiometry: 0 meV/atom. The formation energy (no corrections) comes out at -0.443 eV/atom. The total energy is -0.4294 Ry/atom.

4.
First-principles (PBE) data for TbCe2Nd3Er6 after structural relaxation, as listed in Alexandria via LeMat-Bulk.

Lattice parameters (Å, degrees): 6.169 10.681 11.697 90.00 100.12 90.00
Space group C2/m (No. 12)
One atom of each set of equivalent atoms:
Tb: 0.000 0.000 0.000 x2
Ce: 0.000 0.334 0.000 x4
Nd: 0.000 0.166 0.500 x4
Nd: 0.000 0.500 0.500 x2
Er: 0.247 0.500 0.246 x4
Er: 0.250 0.168 0.246 x8

Computed properties:
The total energy is -0.3531 Ry/atom.

5.
First-principles (PBE) data for LiSi2 after structural relaxation, as listed in Alexandria via LeMat-Bulk.

Lattice parameters (Å, degrees): 5.990 5.990 4.748 90.00 90.00 90.00
Space group I4/mcm (No. 140)
One atom of each set of equivalent atoms:
Li: 0.000 0.000 0.250 x4
Si: 0.150 0.350 0.000 x8

Computed properties:
As for the energy above the lowest structure with this stoichiometry: 335 meV/atom. The formation energy (no corrections) comes out at 0.295 eV/atom. The total energy is -0.2909 Ry/atom.

6.
First-principles (PBE) data for SrLi2Si after structural relaxation, as listed in Alexandria via LeMat-Bulk.

Lattice parameters (Å, degrees): 7.953 4.592 5.905 90.00 116.62 90.00
Space group Cm (No. 8)
One atom of each set of equivalent atoms:
Sr: 0.000 0.000 0.000 x2
Li: 0.021 0.500 0.560 x2
Li: 0.318 0.500 0.451 x2
Si: 0.205 0.000 0.613 x2

Computed properties:
The formation energy (no corrections) comes out at -0.252 eV/atom. The total energy is -0.2194 Ry/atom.

7.
First-principles (PBE) data for SmMgS2 after structural relaxation, as listed in Alexandria via LeMat-Bulk.

Lattice parameters (Å, degrees): 3.7831 3.7831 20.0672 90.00 90.00 120.00
Space group R3m (No. 160, hexagonal axes)
One atom of each set of equivalent atoms:
Sm: 0.0000 0.0000 0.0000 x3
Mg: 0.0000 0.0000 0.1690 x3
S: 0.0000 0.0000 0.5732 x3
S: 0.0000 0.0000 0.7595 x3

Computed properties:
As for the energy above the lowest structure with this stoichiometry: 4 meV/atom. The formation energy (no corrections) comes out at -1.622 eV/atom. The total energy is -0.3869 Ry/atom.

8.
First-principles (PBE) data for SiP2PdAu after structural relaxation, as listed in Alexandria via LeMat-Bulk.

Lattice parameters (Å, degrees): 4.446 4.446 4.791 90.00 90.00 90.00
Space group P4/mmm (No. 123)
One atom of each set of equivalent atoms:
Si: 0.000 0.000 0.000 x1
P: 0.000 0.500 0.000 x2
Pd: 0.500 0.500 0.500 x1
Au: 0.000 0.000 0.500 x1

Computed properties:
The formation energy (no corrections) comes out at 0.733 eV/atom. The total energy is -0.3094 Ry/atom.